[1]
Compound: SnP2OsO
Source: Alexandria via LeMat-Bulk
Functional: PBE-GGA
Structure: relaxed

Cell: 5.0178 5.0178 3.8007 Å, 90.00 90.00 90.00°
Space group P4/mmm (No. 123)
Unique sites:
Sn 0.0000 0.0000 0.0000 x1
P 0.0000 0.5000 0.0000 x2
Os 0.5000 0.5000 0.5000 x1
O 0.0000 0.0000 0.5000 x1

Output
- ΔE_f (raw): 1.2315 eV/atom
- Energy above the lowest structure with this stoichiometry: 1176 meV/atom

[2]
Compound: Li2RhAu
Source: Alexandria via LeMat-Bulk
Functional: PBE-GGA
Structure: relaxed

Cell: 3.0979 4.5104 9.1646 Å, 90.00 90.00 90.00°
Space group Cmm2 (No. 35)
Unique sites:
Li 0.0000 0.0000 0.0000 x2
Li 0.0000 0.5000 0.2908 x2
Rh 0.0000 0.5000 0.7822 x2
Au 0.0000 0.0000 0.5185 x2

Output
- Formation energy from the elements: -5 kJ per mole of atoms

[3]
Compound: GaCuSi
Source: Alexandria via LeMat-Bulk
Functional: PBE-GGA
Structure: relaxed

Cell: 4.0190 4.3832 6.1375 Å, 69.16 70.89 89.89°
Space group P-1 (No. 2)
Unique sites:
Ga 0.1095 0.1906 0.2811 x2
Cu 0.2458 0.8259 0.0084 x2
Si 0.3868 0.4235 0.7276 x2

Output
- ΔE_f (raw): 0.0776 eV/atom

[4]
Compound: Rb2Sn2As2O
Source: Alexandria via LeMat-Bulk
Functional: PBE-GGA
Structure: relaxed

Cell: 13.0961 4.8208 8.0045 Å, 90.00 121.98 90.00°
Space group C2/m (No. 12)
Unique sites:
Rb 0.0530 0.0000 0.3040 x4
Sn 0.1844 0.5000 0.0801 x4
As 0.1944 0.5000 0.7443 x4
O 0.0000 0.5000 0.0000 x2

Output
- ΔE_f (raw): -0.6126 eV/atom

[5]
Compound: Nd7Sm2Dy3
Source: Alexandria via LeMat-Bulk
Functional: PBE-GGA
Structure: relaxed

Cell: 5.8433 38.5434 3.6592 Å, 90.00 90.00 90.00°
Space group Cmmm (No. 65)
Unique sites:
Nd 0.0000 0.0000 0.0000 x2
Nd 0.0000 0.0723 0.5000 x4
Nd 0.0000 0.2317 0.0000 x4
Nd 0.0000 0.4082 0.0000 x4
Sm 0.0000 0.1487 0.0000 x4
Dy 0.0000 0.3152 0.5000 x4
Dy 0.0000 0.5000 0.5000 x2

Output
- Formation energy from the elements: 11 kJ per mole of atoms
- Energy above the lowest structure with this stoichiometry: 44 meV/atom

[6]
Compound: Ca2Zn2Au
Source: Alexandria via LeMat-Bulk
Functional: PBE-GGA
Structure: relaxed

Cell: 3.9188 4.3508 14.0097 Å, 90.00 90.00 90.00°
Space group Amm2 (No. 38)
Unique sites:
Ca 0.0000 0.0000 0.0000 x2
Ca 0.0000 0.0000 0.2538 x2
Zn 0.5000 0.0000 0.6276 x2
Zn 0.5000 0.0000 0.8168 x2
Au 0.5000 0.0000 0.4326 x2

Output
- Formation energy from the elements: -43 kJ per mole of atoms
- Energy above the lowest structure with this stoichiometry: 25 meV/atom

[7]
Compound: Nd2AgP
Source: Alexandria via LeMat-Bulk
Functional: PBE-GGA
Structure: relaxed

Cell: 4.1023 4.1023 22.6218 Å, 90.00 90.00 120.00°
Space group R3m (No. 160, hexagonal axes)
Unique sites:
Nd 0.0000 0.0000 0.0000 x3
Nd 0.0000 0.0000 0.1895 x3
Ag 0.0000 0.0000 0.4281 x3
P 0.0000 0.0000 0.5942 x3

Output
- Formation energy from the elements: -78 kJ per mole of atoms

[8]
Compound: FeTeRuN2
Source: Alexandria via LeMat-Bulk
Functional: PBE-GGA
Structure: relaxed

Cell: 3.6355 3.6355 5.5624 Å, 90.00 90.00 90.00°
Space group P4/mmm (No. 123)
Unique sites:
Fe 0.0000 0.0000 0.0000 x1
Te 0.0000 0.0000 0.5000 x1
Ru 0.5000 0.5000 0.5000 x1
N 0.0000 0.5000 0.0000 x2

Output
- ΔE_f (raw): 1.1433 eV/atom
- Energy above the lowest structure with this stoichiometry: 177 meV/atom